Entry P
VASP calculation (PBE-GGA) on an optimized crystal structure of Sm2Sc2CBr5.

Its space group is C2/m. As for the volume: 253.3 Å³ per cell.

Structure (CIF):
```
data_Sm2Sc2CBr5
_chemical_formula_sum 'Sm2 Sc2 C1 Br5'
_space_group_name_H-M_alt 'P 1'
_space_group_IT_number 1
_cell_length_a 8.997
_cell_length_b 8.997
_cell_length_c 7.921
_cell_angle_alpha 103.36
_cell_angle_beta 103.36
_cell_angle_gamma 23.99
loop_
_space_group_symop_operation_xyz
'x,y,z'
loop_
_atom_site_label
_atom_site_type_symbol
_atom_site_fract_x
_atom_site_fract_y
_atom_site_fract_z
_atom_site_occupancy
Sm1 Sm 0.142 0.142 0.076 1
Sm2 Sm 0.858 0.858 0.924 1
Sc1 Sc 0.500 0.500 0.191 1
Sc2 Sc 0.500 0.500 0.809 1
C1 C 0.000 0.000 0.000 1
Br1 Br 0.000 0.000 0.500 1
Br2 Br 0.336 0.336 0.192 1
Br3 Br 0.343 0.343 0.642 1
Br4 Br 0.657 0.657 0.358 1
Br5 Br 0.664 0.664 0.808 1
```

Entry Q
VASP calculation (PBE-GGA) on an optimized crystal structure of Sm2Sc2CBr5.

Its space group is C2/m. As for the volume: 280.1 Å³ per cell.

Structure (CIF):
```
data_Sm2Sc2CBr5
_chemical_formula_sum 'Sm2 Sc2 C1 Br5'
_space_group_name_H-M_alt 'P 1'
_space_group_IT_number 1
_cell_length_a 9.354
_cell_length_b 9.354
_cell_length_c 8.331
_cell_angle_alpha 102.47
_cell_angle_beta 102.47
_cell_angle_gamma 23.20
loop_
_space_group_symop_operation_xyz
'x,y,z'
loop_
_atom_site_label
_atom_site_type_symbol
_atom_site_fract_x
_atom_site_fract_y
_atom_site_fract_z
_atom_site_occupancy
Sm1 Sm 0.001 0.001 0.295 1
Sm2 Sm 0.999 0.999 0.705 1
Sc1 Sc 0.374 0.374 0.436 1
Sc2 Sc 0.626 0.626 0.564 1
C1 C 0.500 0.500 0.500 1
Br1 Br 0.164 0.164 0.807 1
Br2 Br 0.166 0.166 0.357 1
Br3 Br 0.500 0.500 0.000 1
Br4 Br 0.834 0.834 0.643 1
Br5 Br 0.836 0.836 0.193 1
```

The most stable arrangement is entry Q, and the next structure is 0.045 eV/atom less stable.

Entry P
VASP calculation (PBE-GGA) on an optimized crystal structure of CsCdBr3.

Its space group is Pnma. As for the volume: 704.6 Å³ per cell.

Structure (CIF):
```
data_CsCdBr3
_chemical_formula_sum 'Cs4 Cd4 Br12'
_space_group_name_H-M_alt 'P 1'
_space_group_IT_number 1
_cell_length_a 9.825
_cell_length_b 4.338
_cell_length_c 16.531
_cell_angle_alpha 90.00
_cell_angle_beta 90.00
_cell_angle_gamma 90.00
loop_
_space_group_symop_operation_xyz
'x,y,z'
loop_
_atom_site_label
_atom_site_type_symbol
_atom_site_fract_x
_atom_site_fract_y
_atom_site_fract_z
_atom_site_occupancy
Cs1 Cs 0.070 0.250 0.173 1
Cs2 Cs 0.430 0.750 0.673 1
Cs3 Cs 0.570 0.250 0.327 1
Cs4 Cs 0.930 0.750 0.827 1
Cd1 Cd 0.161 0.750 0.446 1
Cd2 Cd 0.339 0.250 0.946 1
Cd3 Cd 0.661 0.750 0.054 1
Cd4 Cd 0.839 0.250 0.554 1
Br1 Br 0.027 0.750 0.596 1
Br2 Br 0.176 0.750 0.002 1
Br3 Br 0.224 0.250 0.798 1
Br4 Br 0.276 0.750 0.298 1
Br5 Br 0.324 0.250 0.502 1
Br6 Br 0.473 0.250 0.096 1
Br7 Br 0.527 0.750 0.904 1
Br8 Br 0.676 0.750 0.498 1
Br9 Br 0.724 0.250 0.702 1
Br10 Br 0.776 0.750 0.202 1
Br11 Br 0.824 0.250 0.998 1
Br12 Br 0.973 0.250 0.404 1
```

Entry Q
VASP calculation (PBE-GGA) on an optimized crystal structure of CsCdBr3.

Its space group is Pm-3m. As for the volume: 174.6 Å³ per cell.

Structure (CIF):
```
data_CsCdBr3
_chemical_formula_sum 'Cs1 Cd1 Br3'
_space_group_name_H-M_alt 'P 1'
_space_group_IT_number 1
_cell_length_a 5.589
_cell_length_b 5.589
_cell_length_c 5.589
_cell_angle_alpha 90.00
_cell_angle_beta 90.00
_cell_angle_gamma 90.00
loop_
_space_group_symop_operation_xyz
'x,y,z'
loop_
_atom_site_label
_atom_site_type_symbol
_atom_site_fract_x
_atom_site_fract_y
_atom_site_fract_z
_atom_site_occupancy
Cs1 Cs 0.000 0.000 0.000 1
Cd1 Cd 0.500 0.500 0.500 1
Br1 Br 0.000 0.500 0.500 1
Br2 Br 0.500 0.000 0.500 1
Br3 Br 0.500 0.500 0.000 1
```

The most stable arrangement is entry P, and the next structure is 0.019 eV/atom less stable.

Entry P
VASP calculation (PBE-GGA) on an optimized crystal structure of KRb2CdBr6.

Its space group is Fm-3m. As for the volume: 396.6 Å³ per cell.

Structure (CIF):
```
data_KRb2CdBr6
_chemical_formula_sum 'K1 Rb2 Cd1 Br6'
_space_group_name_H-M_alt 'P 1'
_space_group_IT_number 1
_cell_length_a 8.247
_cell_length_b 8.247
_cell_length_c 8.247
_cell_angle_alpha 60.00
_cell_angle_beta 60.00
_cell_angle_gamma 60.00
loop_
_space_group_symop_operation_xyz
'x,y,z'
loop_
_atom_site_label
_atom_site_type_symbol
_atom_site_fract_x
_atom_site_fract_y
_atom_site_fract_z
_atom_site_occupancy
K1 K 0.000 0.000 0.000 1
Rb1 Rb 0.250 0.250 0.250 1
Rb2 Rb 0.750 0.750 0.750 1
Cd1 Cd 0.500 0.500 0.500 1
Br1 Br 0.264 0.264 0.736 1
Br2 Br 0.264 0.736 0.264 1
Br3 Br 0.264 0.736 0.736 1
Br4 Br 0.736 0.264 0.264 1
Br5 Br 0.736 0.264 0.736 1
Br6 Br 0.736 0.736 0.264 1
```

Entry Q
VASP calculation (PBE-GGA) on an optimized crystal structure of KRb2CdBr6.

Its space group is P-1. As for the volume: 369.7 Å³ per cell.

Structure (CIF):
```
data_KRb2CdBr6
_chemical_formula_sum 'K1 Rb2 Cd1 Br6'
_space_group_name_H-M_alt 'P 1'
_space_group_IT_number 1
_cell_length_a 6.893
_cell_length_b 7.904
_cell_length_c 8.499
_cell_angle_alpha 91.76
_cell_angle_beta 113.81
_cell_angle_gamma 115.67
loop_
_space_group_symop_operation_xyz
'x,y,z'
loop_
_atom_site_label
_atom_site_type_symbol
_atom_site_fract_x
_atom_site_fract_y
_atom_site_fract_z
_atom_site_occupancy
K1 K 0.000 0.000 0.000 1
Rb1 Rb 0.478 0.714 0.239 1
Rb2 Rb 0.522 0.286 0.761 1
Cd1 Cd 0.000 0.500 0.500 1
Br1 Br 0.033 0.206 0.348 1
Br2 Br 0.097 0.376 0.823 1
Br3 Br 0.478 0.793 0.655 1
Br4 Br 0.522 0.207 0.345 1
Br5 Br 0.903 0.624 0.177 1
Br6 Br 0.967 0.794 0.652 1
```

The most stable arrangement is entry Q, and the next structure is 0.045 eV/atom less stable.

Entry P
VASP calculation (PBE-GGA) on an optimized crystal structure of Co2Br3Cl.

Its space group is Pm. As for the volume: 147.3 Å³ per cell.

Structure (CIF):
```
data_Co2Br3Cl
_chemical_formula_sum 'Co2 Br3 Cl1'
_space_group_name_H-M_alt 'P 1'
_space_group_IT_number 1
_cell_length_a 6.337
_cell_length_b 3.659
_cell_length_c 6.704
_cell_angle_alpha 90.00
_cell_angle_beta 108.59
_cell_angle_gamma 90.00
loop_
_space_group_symop_operation_xyz
'x,y,z'
loop_
_atom_site_label
_atom_site_type_symbol
_atom_site_fract_x
_atom_site_fract_y
_atom_site_fract_z
_atom_site_occupancy
Co1 Co 0.000 0.000 0.000 1
Co2 Co 0.495 0.500 0.995 1
Br1 Br 0.242 0.500 0.232 1
Br2 Br 0.742 0.000 0.225 1
Br3 Br 0.754 0.500 0.768 1
Cl1 Cl 0.261 0.000 0.799 1
```

Entry Q
VASP calculation (PBE-GGA) on an optimized crystal structure of Co2Br3Cl.

Its space group is Pmm2. As for the volume: 174.5 Å³ per cell.

Structure (CIF):
```
data_Co2Br3Cl
_chemical_formula_sum 'Co2 Br3 Cl1'
_space_group_name_H-M_alt 'P 1'
_space_group_IT_number 1
_cell_length_a 3.809
_cell_length_b 3.854
_cell_length_c 11.885
_cell_angle_alpha 90.00
_cell_angle_beta 90.00
_cell_angle_gamma 90.00
loop_
_space_group_symop_operation_xyz
'x,y,z'
loop_
_atom_site_label
_atom_site_type_symbol
_atom_site_fract_x
_atom_site_fract_y
_atom_site_fract_z
_atom_site_occupancy
Co1 Co 0.000 0.000 0.000 1
Co2 Co 0.500 0.500 0.494 1
Br1 Br 0.000 0.500 0.372 1
Br2 Br 0.000 0.500 0.879 1
Br3 Br 0.500 0.000 0.614 1
Cl1 Cl 0.500 0.000 0.104 1
```

The most stable arrangement is entry Q, and the next structure is 0.015 eV/atom less stable.

Entry P
VASP calculation (PBE-GGA) on an optimized crystal structure of CuBrCl.

Its space group is P2_1/m. As for the volume: 151.7 Å³ per cell.

Structure (CIF):
```
data_CuBrCl
_chemical_formula_sum 'Cu2 Br2 Cl2'
_space_group_name_H-M_alt 'P 1'
_space_group_IT_number 1
_cell_length_a 6.982
_cell_length_b 3.378
_cell_length_c 7.245
_cell_angle_alpha 90.00
_cell_angle_beta 117.38
_cell_angle_gamma 90.00
loop_
_space_group_symop_operation_xyz
'x,y,z'
loop_
_atom_site_label
_atom_site_type_symbol
_atom_site_fract_x
_atom_site_fract_y
_atom_site_fract_z
_atom_site_occupancy
Cu1 Cu 0.241 0.250 0.251 1
Cu2 Cu 0.759 0.750 0.749 1
Br1 Br 0.483 0.750 0.240 1
Br2 Br 0.517 0.250 0.760 1
Cl1 Cl 0.024 0.750 0.257 1
Cl2 Cl 0.976 0.250 0.743 1
```

Entry Q
VASP calculation (PBE-GGA) on an optimized crystal structure of CuBrCl.

Its space group is P2/m. As for the volume: 151.4 Å³ per cell.

Structure (CIF):
```
data_CuBrCl
_chemical_formula_sum 'Cu2 Br2 Cl2'
_space_group_name_H-M_alt 'P 1'
_space_group_IT_number 1
_cell_length_a 6.970
_cell_length_b 3.404
_cell_length_c 7.187
_cell_angle_alpha 90.00
_cell_angle_beta 117.41
_cell_angle_gamma 90.00
loop_
_space_group_symop_operation_xyz
'x,y,z'
loop_
_atom_site_label
_atom_site_type_symbol
_atom_site_fract_x
_atom_site_fract_y
_atom_site_fract_z
_atom_site_occupancy
Cu1 Cu 0.000 0.000 0.000 1
Cu2 Cu 0.500 0.500 0.500 1
Br1 Br 0.239 0.500 0.990 1
Br2 Br 0.761 0.500 0.010 1
Cl1 Cl 0.282 0.000 0.508 1
Cl2 Cl 0.718 0.000 0.492 1
```

The most stable arrangement is entry P, and the next structure is 0.005 eV/atom less stable.

Entry P
VASP calculation (PBE-GGA) on an optimized crystal structure of KCu2IBrCl.

Its space group is P2_1/m. As for the volume: 332.1 Å³ per cell.

Structure (CIF):
```
data_KCu2IBrCl
_chemical_formula_sum 'K2 Cu4 I2 Br2 Cl2'
_space_group_name_H-M_alt 'P 1'
_space_group_IT_number 1
_cell_length_a 7.246
_cell_length_b 5.346
_cell_length_c 9.261
_cell_angle_alpha 90.00
_cell_angle_beta 112.21
_cell_angle_gamma 90.00
loop_
_space_group_symop_operation_xyz
'x,y,z'
loop_
_atom_site_label
_atom_site_type_symbol
_atom_site_fract_x
_atom_site_fract_y
_atom_site_fract_z
_atom_site_occupancy
K1 K 0.155 0.250 0.394 1
K2 K 0.845 0.750 0.606 1
Cu1 Cu 0.388 0.501 0.854 1
Cu2 Cu 0.388 0.999 0.854 1
Cu3 Cu 0.612 0.001 0.146 1
Cu4 Cu 0.612 0.499 0.146 1
I1 I 0.269 0.750 0.052 1
I2 I 0.731 0.250 0.948 1
Br1 Br 0.401 0.750 0.625 1
Br2 Br 0.599 0.250 0.375 1
Cl1 Cl 0.098 0.250 0.717 1
Cl2 Cl 0.902 0.750 0.283 1
```

Entry Q
VASP calculation (PBE-GGA) on an optimized crystal structure of KCu2IBrCl.

Its space group is P2_1/m. As for the volume: 333.6 Å³ per cell.

Structure (CIF):
```
data_KCu2IBrCl
_chemical_formula_sum 'K2 Cu4 I2 Br2 Cl2'
_space_group_name_H-M_alt 'P 1'
_space_group_IT_number 1
_cell_length_a 7.336
_cell_length_b 5.330
_cell_length_c 9.181
_cell_angle_alpha 90.00
_cell_angle_beta 111.65
_cell_angle_gamma 90.00
loop_
_space_group_symop_operation_xyz
'x,y,z'
loop_
_atom_site_label
_atom_site_type_symbol
_atom_site_fract_x
_atom_site_fract_y
_atom_site_fract_z
_atom_site_occupancy
K1 K 0.192 0.250 0.398 1
K2 K 0.808 0.750 0.602 1
Cu1 Cu 0.396 0.502 0.852 1
Cu2 Cu 0.396 0.998 0.852 1
Cu3 Cu 0.604 0.002 0.148 1
Cu4 Cu 0.604 0.498 0.148 1
I1 I 0.271 0.750 0.053 1
I2 I 0.729 0.250 0.947 1
Br1 Br 0.087 0.250 0.712 1
Br2 Br 0.913 0.750 0.288 1
Cl1 Cl 0.405 0.750 0.637 1
Cl2 Cl 0.595 0.250 0.363 1
```

The most stable arrangement is entry P, and the next structure is 0.007 eV/atom less stable.